Record 1
Computed, not measured: crystalline GaCoSe2 at its relaxed geometry at the PBEsol level of DFT.

Lattice parameters (Å, degrees): 6.7161 6.7161 6.7161 131.57 131.57 70.91
Atoms (fractional coordinates):
Ga 0.0000 0.0000 0.0000
Ga 0.7500 0.2500 0.5000
Co 0.2500 0.7500 0.5000
Co 0.5000 0.5000 0.0000
Se 0.1517 0.6250 0.0267
Se 0.3750 0.4017 0.5267
Se 0.5983 0.1250 0.9733
Se 0.8750 0.8483 0.4733

- Total magnetic moment: 3.3 Bohr magnetons per cell
- E_form (uncorrected): -0.2435 eV/atom

Record 2
Computed, not measured: crystalline OsRu2Pb at its relaxed geometry at the PBEsol level of DFT.

Lattice parameters (Å, degrees): 6.2279 6.2279 6.2279 153.72 140.55 48.02
Atoms (fractional coordinates):
Os 0.0000 0.0000 0.0000
Ru 0.5679 0.5679 0.0000
Ru 0.8184 0.3184 0.5000
Pb 0.2361 0.7361 0.5000

- Total magnetic moment: 0.0 Bohr magnetons per cell
- Energy: -8.403 eV/atom